Material: FeBiP2O
Method: DFT, PBE+U
State: optimized geometry

Results
Space group: P4/mmm (123)
Electronic total energy in eV per atom: -4.062
D(E_F) in states/eV per atom: 0.921

Cell lengths 5.287, 5.287, 4.127 Å; angles 90.00, 90.00, 90.00 degrees
Last column: magnetic moment on the atom in μB.
Sites, in units of the cell vectors:
P: 0.000 0.500 0.000  -0.04
P: 0.500 0.000 0.000  -0.04
Bi: 0.000 0.000 0.000  0.00
O: 0.000 0.000 0.500  -0.02
Fe: 0.500 0.500 0.500  3.57